Record 1
DFT (PBE) results for a relaxed structure of K2YFe.

Lattice parameters (Å, degrees): 12.991 12.991 12.991 15.50 15.50 15.50
Each line ends with the local moment (μB).
Positions (direct):
Fe1 0.250 0.250 0.250  3.07
K1 0.989 0.989 0.989  -0.02
K2 0.511 0.511 0.511  -0.02
Y1 0.750 0.750 0.750  0.03

Output
The space-group type is No. 166. The magnetic moment comes out at 2.98 Bohr magnetons per cell. The density of states at the Fermi level is 1.369 states/eV/atom. The value obtained for the polymorph energy (0 for the lowest one) is 481 meV/atom.



Record 2
DFT (PBE) results for a relaxed structure of InPb3O.

Lattice parameters (Å, degrees): 5.080 5.080 5.080 90.00 90.00 90.00
Positions (direct):
Pb1 0.000 0.500 0.000
Pb2 0.000 0.000 0.500
Pb3 0.500 0.000 0.000
O1 0.000 0.000 0.000
In1 0.500 0.500 0.500

Output
The space-group type is No. 221. The magnetic moment comes out at 0.00 Bohr magnetons per cell. The density of states at the Fermi level is 0.400 states/eV/atom. Its raw formation energy is -0.29 eV per atom. The value obtained for the polymorph energy (0 for the lowest one) is 0 meV/atom.



Record 3
DFT (PBE) results for a relaxed structure of Ba2U3PdO12.

Lattice parameters (Å, degrees): 7.583 7.583 7.583 64.72 64.72 64.72
Each line ends with the local moment (μB).
Positions (direct):
Ba1 0.676 0.676 0.676  0.00
Ba2 0.324 0.324 0.324  0.00
U1 0.500 0.000 0.000  0.13
U2 0.000 0.500 0.000  0.13
U3 0.000 0.000 0.500  0.13
Pd1 0.000 0.000 0.000  1.19
O1 0.319 0.319 0.958  0.00
O2 0.922 0.922 0.334  0.06
O3 0.334 0.922 0.922  0.06
O4 0.958 0.319 0.319  0.00
O5 0.922 0.334 0.922  0.06
O6 0.319 0.958 0.319  0.00
O7 0.681 0.681 0.042  0.00
O8 0.078 0.078 0.666  0.06
O9 0.666 0.078 0.078  0.06
O10 0.042 0.681 0.681  0.00
O11 0.078 0.666 0.078  0.06
O12 0.681 0.042 0.681  0.00

Output
The space-group type is No. 166. The magnetic moment comes out at 2.00 Bohr magnetons per cell. Its raw formation energy is -2.68 eV per atom.



Record 4
DFT (PBE) results for a relaxed structure of ZnGeS2.

Lattice parameters (Å, degrees): 5.886 5.886 6.929 64.86 64.86 90.00
Positions (direct):
S1 0.586 0.125 0.250
S2 0.164 0.625 0.250
S3 0.375 0.414 0.750
S4 0.875 0.836 0.750
Ge1 0.000 0.000 0.000
Ge2 0.750 0.250 0.500
Zn1 0.500 0.500 0.000
Zn2 0.250 0.750 0.500

Output
The space-group type is No. 122. The magnetic moment comes out at 0.00 Bohr magnetons per cell. The density of states at the Fermi level is 0.000 states/eV/atom. Its raw formation energy is -0.31 eV per atom.



Record 5
DFT (PBE) results for a relaxed structure of AsRuF3.

Lattice parameters (Å, degrees): 4.325 4.325 4.325 90.00 90.00 90.00
Each line ends with the local moment (μB).
Positions (direct):
Ru1 0.500 0.500 0.500  2.56
As1 0.000 0.000 0.000  -0.07
F1 0.000 0.500 0.000  0.02
F2 0.000 0.000 0.500  0.01
F3 0.500 0.000 0.000  0.01

Output
The space-group type is No. 221. The magnetic moment comes out at 2.81 Bohr magnetons per cell. The density of states at the Fermi level is 1.154 states/eV/atom. Its raw formation energy is -0.31 eV per atom.



Record 6
DFT (PBE) results for a relaxed structure of KHgOs3.

Lattice parameters (Å, degrees): 5.125 5.125 5.125 90.00 90.00 90.00
Each line ends with the local moment (μB).
Positions (direct):
K1 0.500 0.500 0.500  0.00
Os1 0.000 0.500 0.000  2.05
Os2 0.000 0.000 0.500  2.48
Os3 0.500 0.000 0.000  1.59
Hg1 0.000 0.000 0.000  0.03

Output
The space-group type is No. 221. The magnetic moment comes out at 6.75 Bohr magnetons per cell. The density of states at the Fermi level is 1.199 states/eV/atom. The value obtained for the polymorph energy (0 for the lowest one) is 0 meV/atom.



Record 7
DFT (PBE) results for a relaxed structure of TaSiNiMo2.

Lattice parameters (Å, degrees): 4.576 4.000 4.576 90.00 90.00 90.00
Positions (direct):
Ni1 0.000 0.000 0.000
Mo1 0.000 0.000 0.500
Mo2 0.500 0.000 0.000
Si1 0.000 0.500 0.000
Ta1 0.500 0.500 0.500

Output
The space-group type is No. 123. The magnetic moment comes out at 0.00 Bohr magnetons per cell. The density of states at the Fermi level is 0.879 states/eV/atom. Its raw formation energy is 0.81 eV per atom.



Record 8
DFT (PBE) results for a relaxed structure of RbHfF2.

Lattice parameters (Å, degrees): 7.802 7.802 7.802 26.82 26.82 26.82
Positions (direct):
Hf1 0.000 0.000 0.000
Rb1 0.500 0.500 0.500
F1 0.910 0.910 0.910
F2 0.090 0.090 0.090

Output
The space-group type is No. 166. The magnetic moment comes out at 0.00 Bohr magnetons per cell. The density of states at the Fermi level is 0.656 states/eV/atom. Its raw formation energy is -2.21 eV per atom. The value obtained for the polymorph energy (0 for the lowest one) is 0 meV/atom.



Record 9
DFT (PBE) results for a relaxed structure of ScPCl.

Lattice parameters (Å, degrees): 3.848 3.847 11.463 89.55 90.00 120.01
Positions (direct):
Sc1 0.170 0.340 0.291
Sc2 0.830 0.660 0.709
P1 0.502 0.003 0.407
P2 0.498 0.997 0.593
Cl1 0.161 0.322 0.842
Cl2 0.839 0.678 0.158

Output
The space-group type is No. 12. The magnetic moment comes out at 0.00 Bohr magnetons per cell. Its raw formation energy is -1.37 eV per atom. The value obtained for the polymorph energy (0 for the lowest one) is 0 meV/atom.



Record 10
DFT (PBE) results for a relaxed structure of HfTi3Sb.

Lattice parameters (Å, degrees): 3.396 9.246 12.424 90.00 90.00 90.00
Positions (direct):
Hf1 0.750 0.857 0.002
Hf2 0.250 0.643 0.502
Hf3 0.750 0.357 0.498
Hf4 0.250 0.143 0.998
Ti1 0.250 0.576 0.090
Ti2 0.750 0.424 0.910
Ti3 0.250 0.076 0.410
Ti4 0.750 0.924 0.590
Ti5 0.250 0.436 0.713
Ti6 0.750 0.064 0.213
Ti7 0.250 0.936 0.787
Ti8 0.750 0.679 0.698
Ti9 0.250 0.321 0.302
Ti10 0.750 0.179 0.802
Ti11 0.750 0.564 0.287
Ti12 0.250 0.821 0.198
Sb1 0.250 0.156 0.626
Sb2 0.250 0.656 0.874
Sb3 0.750 0.344 0.126
Sb4 0.750 0.844 0.374

Output
The space-group type is No. 62. The magnetic moment comes out at 0.00 Bohr magnetons per cell. The density of states at the Fermi level is 1.280 states/eV/atom. Its raw formation energy is -0.19 eV per atom. The value obtained for the polymorph energy (0 for the lowest one) is 0 meV/atom.



Record 11
DFT (PBE) results for a relaxed structure of Nd2HoGe4Pt3.

Lattice parameters (Å, degrees): 4.309 4.309 11.285 90.00 90.00 90.00
Positions (direct):
Nd1 0.500 0.000 0.232
Nd2 0.000 0.500 0.768
Ho1 0.500 0.500 0.500
Ge1 0.500 0.500 0.000
Ge2 0.000 0.000 0.000
Ge3 0.500 0.000 0.662
Ge4 0.000 0.500 0.338
Pt1 0.000 0.000 0.500
Pt2 0.500 0.000 0.882
Pt3 0.000 0.500 0.118

Output
The space-group type is No. 115. The magnetic moment comes out at 0.00 Bohr magnetons per cell. The energy is -0.440 Ry per atom. The density of states at the Fermi level is 0.396 states/eV/atom.



Record 12
DFT (PBE) results for a relaxed structure of LiPr2P.

Lattice parameters (Å, degrees): 4.052 4.052 8.805 76.70 76.70 60.00
Each line ends with the local moment (μB).
Positions (direct):
Li1 0.500 0.500 0.499  0.01
Pr1 0.065 0.065 0.806  0.08
Pr2 0.269 0.269 0.194  -0.06
P1 0.666 0.666 0.001  0.00

Output
The space-group type is No. 160. The magnetic moment comes out at 0.09 Bohr magnetons per cell. The density of states at the Fermi level is 0.589 states/eV/atom. The value obtained for the polymorph energy (0 for the lowest one) is 0 meV/atom.